Entry 1:
VASP calculation (PBE-GGA) on an optimized crystal structure of RbEuCl2.

Cell and atoms, written as POSCAR:
```
RbEuCl2
1.0
-0.5094 1.6079 4.2697
-2.0721 -2.5712 3.1891
7.6658 -4.1446 4.9433
Eu Rb Cl
1 1 2
Cartesian
2.5422 -2.5539 6.2011 Eu
0.0000 0.0000 0.0000 Rb
4.5599 -2.7518 4.0483 Cl
0.5244 -2.3560 8.3538 Cl
```

Properties
As for the total energy: -5.4520 eV per atom. As for the space group: R-3m (166).

Entry 2:
VASP calculation (PBE-GGA) on an optimized crystal structure of RbEu2Cl5.

Cell and atoms, written as POSCAR:
```
RbEu2Cl5
1.0
7.9631 0.0000 0.0000
0.0000 9.0388 -0.0026
0.0000 0.0549 12.8044
Rb Eu Cl
4 8 20
Cartesian
3.5673 4.4653 10.6690 Rb
4.3959 4.6284 2.1327 Rb
7.5488 4.6559 8.5349 Rb
0.4143 4.4378 4.2668 Rb
3.8159 9.0609 10.5208 Eu
4.1472 0.0327 2.2809 Eu
7.7975 0.0602 8.6831 Eu
0.1657 9.0335 4.1187 Eu
3.4588 6.8467 6.4701 Eu
4.5043 2.2470 6.3316 Eu
7.4404 2.2744 12.7338 Eu
0.5227 6.8193 0.0680 Eu
2.6345 4.2620 7.4375 Cl
5.3287 4.8317 5.3642 Cl
6.6160 4.8591 11.7664 Cl
1.3471 4.2346 1.0354 Cl
5.3147 7.1933 8.7254 Cl
2.6484 1.9004 4.0764 Cl
1.3332 1.9278 10.4785 Cl
6.6300 7.1658 2.3232 Cl
1.5196 7.0672 10.0635 Cl
6.4436 2.0265 2.7382 Cl
5.5011 2.0540 9.1404 Cl
2.4620 7.0397 3.6614 Cl
0.4227 7.1884 6.4383 Cl
7.5405 1.9053 6.3635 Cl
4.4042 1.9327 12.7656 Cl
3.5589 7.1609 0.0361 Cl
6.7009 8.7434 11.4923 Cl
1.2623 0.3503 1.3094 Cl
2.7193 0.3777 7.7116 Cl
5.2438 8.7160 5.0901 Cl
```

Properties
As for the total energy: -6.1273 eV per atom. As for the space group: P2_1/c (14).

Entry 3:
VASP calculation (PBE-GGA) on an optimized crystal structure of RbEuCl2.

Cell and atoms, written as POSCAR:
```
RbEuCl2
1.0
-0.9731 -1.8287 -3.1545
-1.3159 -2.8687 2.0689
-7.2949 3.5041 0.2190
Eu Rb Cl
1 1 2
Cartesian
-1.1445 -2.3487 -0.5428 Eu
-4.7919 -0.5967 -0.4333 Rb
-5.6316 2.7051 0.1690 Cl
-1.6633 0.7990 0.0499 Cl
```

Properties
As for the total energy: -5.3148 eV per atom. As for the space group: P4/mmm (123).

Entry 4:
VASP calculation (PBE-GGA) on an optimized crystal structure of Eu2RhCl.

Cell and atoms, written as POSCAR:
```
Eu2RhCl
1.0
-1.0242 -3.9846 -0.0739
1.1487 -2.4770 3.0784
-6.2944 -0.5924 4.6222
Eu Rh Cl
2 1 1
Cartesian
-4.8272 -5.2413 5.8341 Eu
-1.3427 -1.8127 1.7925 Eu
0.0000 0.0000 0.0000 Rh
-3.0849 -3.5270 3.8133 Cl
```

Properties
As for the total energy: -8.4922 eV per atom. As for the space group: R-3m (166).